This record from Alexandria via LeMat-Bulk describes Be2Rh2Pb after structural relaxation. The functional is PBE.

Cell: 6.9645 6.9645 2.9518 Å, 90.00 90.00 90.00°
Closest atoms and distances in Å follow each position.
Space group P4/mbm (No. 127)
Symmetry-distinct sites (fractional):
Be: 0.1259 0.3741 0.0000 (multiplicity 4)  6 Rh 2.42-2.66, 1 Be 2.48
Rh: 0.1493 0.6493 0.5000 (multiplicity 4)  6 Be 2.42-2.66, 2 Pb 2.65
Pb: 0.0000 0.0000 0.5000 (multiplicity 2)  4 Rh 2.65, 2 Pb 2.95

Properties
DOS at the Fermi energy = 0.63 states/eV per atom
Energy above the lowest structure with this stoichiometry = 0.27 eV per formula unit
Crystal system = tetragonal
VASP energy = -0.1940 Ha/atom

=====

This record from Alexandria via LeMat-Bulk describes NiSb2Pd3 after structural relaxation. The functional is PBE.

Cell: 5.7807 12.8490 5.7046 Å, 90.00 90.00 90.00°
Closest atoms and distances in Å follow each position.
Space group Ibam (No. 72)
Symmetry-distinct sites (fractional):
Ni: 0.0000 0.0000 0.2500 (multiplicity 4)  4 Sb 2.64, 6 Pd 2.82-2.89, 2 Ni 2.85
Sb: 0.2357 0.1366 0.0000 (multiplicity 8)  2 Ni 2.64, 6 Pd 2.68-2.86
Pd: 0.0000 0.5000 0.2500 (multiplicity 4)  4 Sb 2.73, 6 Pd 2.85-2.88, 2 Ni 2.89
Pd: 0.2384 0.1555 0.5000 (multiplicity 8)  4 Sb 2.68-2.86, 2 Ni 2.82, 2 Pd 2.88

Properties
DOS at the Fermi energy = 0.66 states/eV per atom
Formation energy from raw total energies = -0.333 eV per atom
Crystal system = orthorhombic
VASP energy = -0.1935 Ha/atom

=====

This record from Alexandria via LeMat-Bulk describes Na5Tl4Hg2 after structural relaxation. The functional is PBE.

Cell: 8.5842 19.9638 3.5565 Å, 90.00 90.00 90.00°
Closest atoms and distances in Å follow each position.
Space group Pbam (No. 55)
Symmetry-distinct sites (fractional):
Na: 0.0000 0.0000 0.0000 (multiplicity 2)  8 Tl 3.37-3.58, 4 Na 3.42-3.56
Na: 0.1339 0.4329 0.0000 (multiplicity 4)  2 Hg 3.14, 6 Tl 3.38-3.50, 1 Na 3.42
Na: 0.2403 0.2145 0.0000 (multiplicity 4)  4 Hg 3.12-3.16, 4 Tl 3.37-3.48
Tl: 0.0762 0.8477 0.5000 (multiplicity 4)  2 Hg 3.30-3.38, 8 Na 3.48-3.58, 3 Tl 3.51-3.56
Tl: 0.2120 0.5728 0.5000 (multiplicity 4)  1 Hg 3.19, 8 Na 3.37-3.46, 3 Tl 3.51-3.56
Hg: 0.0396 0.3097 0.5000 (multiplicity 4)  6 Na 3.12-3.16, 3 Tl 3.19-3.38

Properties
DOS at the Fermi energy = 0.49 states/eV per atom
Crystal system = orthorhombic
VASP energy = -0.0611 Ha/atom

=====

This record from Alexandria via LeMat-Bulk describes ZrTlP2 after structural relaxation. The functional is PBE.

Cell: 3.3660 3.3660 24.1071 Å, 90.00 90.00 120.00°
Closest atoms and distances in Å follow each position.
Space group R3m (No. 160, hexagonal axes)
Symmetry-distinct sites (fractional):
Zr: 0.0000 0.0000 0.0000 (multiplicity 3)  3 P 2.78
Tl: 0.0000 0.0000 0.7702 (multiplicity 3)  3 P 2.97, 3 Zr 3.16
P: 0.0000 0.0000 0.2508 (multiplicity 3)  3 P 2.34
P: 0.0000 0.0000 0.5303 (multiplicity 3)  3 P 2.34

Properties
DOS at the Fermi energy = 0.73 states/eV per atom
Energy above the lowest structure with this stoichiometry = 2.14 eV per formula unit
Crystal system = trigonal
VASP energy = -0.1988 Ha/atom

=====

This record from Alexandria via LeMat-Bulk describes La4AuCl after structural relaxation. The functional is PBE.

Cell: 9.0335 9.0335 9.0335 Å, 90.00 90.00 90.00°
Closest atoms and distances in Å follow each position.
Space group F-43m (No. 216)
Symmetry-distinct sites (fractional):
La: 0.1243 0.1243 0.1243 (multiplicity 16)  6 La 3.18-3.21
Au: 0.2500 0.2500 0.7500 (multiplicity 4)  12 La 3.74, 4 Cl 3.91
Cl: 0.0000 0.0000 0.5000 (multiplicity 4)  12 La 3.75, 4 Au 3.91

Properties
DOS at the Fermi energy = 1.58 states/eV per atom
Formation energy from raw total energies = 0.072 eV per atom
Crystal system = cubic
VASP energy = -0.1495 Ha/atom

=====

This record from Alexandria via LeMat-Bulk describes CeTmSi2 after structural relaxation. The functional is PBE.

Cell: 4.5733 4.5733 15.3474 Å, 90.00 90.00 120.00°
Closest atoms and distances in Å follow each position.
Space group R-3m (No. 166, hexagonal axes)
Symmetry-distinct sites (fractional):
Ce: 0.0000 0.0000 0.0000 (multiplicity 3)  6 Si 2.98
Tm: 0.0000 0.0000 0.5000 (multiplicity 3)  6 Si 2.89
Si: 0.0000 0.0000 0.2436 (multiplicity 6)  3 Tm 2.89, 3 Ce 2.98

Properties
DOS at the Fermi energy = 1.04 states/eV per atom
Energy above the lowest structure with this stoichiometry = 0.86 eV per formula unit
Formation energy from raw total energies = -0.498 eV per atom
Crystal system = trigonal
VASP energy = -0.2135 Ha/atom

=====

This record from Alexandria via LeMat-Bulk describes SbPPb after structural relaxation. The functional is PBE.

Cell: 4.9551 4.9641 7.6017 Å, 75.27 72.46 73.85°
Closest atoms and distances in Å follow each position.
Space group P1 (No. 1)
Symmetry-distinct sites (fractional):
Sb: 0.0000 0.0000 0.0000 (multiplicity 1)  1 P 2.85, 3 Pb 3.16-3.18
Sb: 0.3958 0.3731 0.6263 (multiplicity 1)  2 P 2.61-2.75
P: 0.6942 0.7462 0.3578 (multiplicity 1)  1 P 2.19
P: 0.8166 0.9355 0.5449 (multiplicity 1)  1 P 2.19
Pb: 0.1964 0.2603 0.2946 (multiplicity 1)  3 P 2.78-3.07
Pb: 0.6424 0.6360 0.9092 (multiplicity 1)  1 P 2.79

Properties
DOS at the Fermi energy = 0.41 states/eV per atom
Energy above the lowest structure with this stoichiometry = 0.10 eV per formula unit
Formation energy from raw total energies = 0.108 eV per atom
Crystal system = triclinic
VASP energy = -0.1582 Ha/atom

=====

This record from Alexandria via LeMat-Bulk describes Ca2Tb2Zn3 after structural relaxation. The functional is PBE.

Cell: 5.0414 5.0429 8.9661 Å, 73.68 73.72 60.03°
Closest atoms and distances in Å follow each position.
Space group P-1 (No. 2)
Symmetry-distinct sites (fractional):
Ca: 0.1266 0.1263 0.1205 (multiplicity 2)  5 Zn 3.17-3.32, 1 Ca 3.55
Tb: 0.3762 0.3755 0.3726 (multiplicity 2)  7 Zn 3.03-3.11
Zn: 0.0000 0.0000 0.5000 (multiplicity 1)  6 Tb 3.10-3.11, 2 Ca 3.22
Zn: 0.2572 0.2562 0.7295 (multiplicity 2)  4 Tb 3.03-3.04, 4 Ca 3.17-3.32

Properties
DOS at the Fermi energy = 0.74 states/eV per atom
Crystal system = triclinic
VASP energy = -0.0973 Ha/atom

=====

This record from Alexandria via LeMat-Bulk describes NdHo2Pd2 after structural relaxation. The functional is PBE.

Cell: 6.5962 6.5994 6.7759 Å, 90.00 118.54 90.00°
Closest atoms and distances in Å follow each position.
Space group C2/m (No. 12)
Symmetry-distinct sites (fractional):
Nd: 0.0000 0.0000 0.0000 (multiplicity 2)  8 Pd 3.53-3.58, 8 Ho 3.77-3.79
Ho: 0.0000 0.2502 0.5000 (multiplicity 4)  4 Pd 2.86
Pd: 0.1140 0.5000 0.2230 (multiplicity 4)  1 Pd 2.66, 4 Ho 2.86

Properties
DOS at the Fermi energy = 1.29 states/eV per atom
Energy above the lowest structure with this stoichiometry = 0.64 eV per formula unit
Crystal system = monoclinic
VASP energy = -0.1994 Ha/atom

=====

This record from Alexandria via LeMat-Bulk describes CdSbCl3 after structural relaxation. The functional is PBE.

Cell: 5.3726 5.3726 5.3726 Å, 90.00 90.00 90.00°
Closest atoms and distances in Å follow each position.
Space group Pm-3m (No. 221)
Symmetry-distinct sites (fractional):
Cd: 0.0000 0.0000 0.0000 (multiplicity 1)  12 Cl 3.80
Sb: 0.5000 0.5000 0.5000 (multiplicity 1)  6 Cl 2.69
Cl: 0.0000 0.5000 0.5000 (multiplicity 3)  2 Sb 2.69

Properties
DOS at the Fermi energy = 0.75 states/eV per atom
Energy above the lowest structure with this stoichiometry = 0.00 eV per formula unit
Formation energy from raw total energies = -0.451 eV per atom
Crystal system = cubic
VASP energy = -0.0943 Ha/atom

=====

This record from Alexandria via LeMat-Bulk describes CrGeTeRu after structural relaxation. The functional is PBE.

Cell: 9.1146 3.2805 4.5719 Å, 90.00 103.14 90.00°
Closest atoms and distances in Å follow each position.
Space group Cm (No. 8)
Symmetry-distinct sites (fractional):
Cr: 0.0000 0.0000 0.0000 (multiplicity 2)  3 Te 2.59-2.64, 4 Ge 2.77-2.86
Ge: 0.0080 0.5000 0.4913 (multiplicity 2)  3 Ru 2.58-2.64, 4 Cr 2.77-2.86
Te: 0.2665 0.0000 0.8880 (multiplicity 2)  3 Cr 2.59-2.64, 4 Ru 2.81-2.82
Ru: 0.2831 0.5000 0.3963 (multiplicity 2)  3 Ge 2.58-2.64, 4 Te 2.81-2.82

Properties
DOS at the Fermi energy = 0.65 states/eV per atom
Energy above the lowest structure with this stoichiometry = 0.55 eV per formula unit
Formation energy from raw total energies = 0.143 eV per atom
Crystal system = monoclinic
VASP energy = -0.2397 Ha/atom

=====

This record from Alexandria via LeMat-Bulk describes Ca2TlN after structural relaxation. The functional is PBE.

Cell: 3.5784 3.5784 8.7894 Å, 90.00 90.00 120.00°
Closest atoms and distances in Å follow each position.
Space group P3m1 (No. 156)
Symmetry-distinct sites (fractional):
Ca: 0.0000 0.0000 0.0000 (multiplicity 1)  3 N 2.43
Ca: 0.3333 0.6667 0.2860 (multiplicity 1)  3 N 2.41
Tl: 0.3333 0.6667 0.6663 (multiplicity 1)  4 Ca 3.34-3.59, 6 Tl 3.58
N: 0.6667 0.3333 0.1458 (multiplicity 1)  6 Ca 2.41-2.43

Properties
DOS at the Fermi energy = 0.26 states/eV per atom
Formation energy from raw total energies = -0.631 eV per atom
Crystal system = trigonal
VASP energy = -0.1582 Ha/atom